Material: Cd5Pd4Rh
Method: DFT, PBE
State: optimized geometry

Properties
Size of the total moment   0.000 μB/f.u.
E_tot   -0.133 hartree per atom
Energy of formation   -0.35 eV per atom
Density   10.44 g/cm3
SG   P4/mmm (123)

Lattice parameters (Å, degrees): 3.3213 3.3213 15.7273 90.00 90.00 90.00
With the nearest neighbours (Å) after each atom.
Fractional coordinates of all 10 atoms:
1 Cd 0.5000 0.5000 0.0980  4 Rh 2.81, 4 Pd 2.84, 1 Cd 3.08
2 Cd 0.5000 0.5000 0.9020  4 Rh 2.81, 4 Pd 2.84, 1 Cd 3.08
3 Cd 0.5000 0.5000 0.2992  8 Pd 2.82-2.83, 1 Cd 3.16
4 Cd 0.5000 0.5000 0.5000  8 Pd 2.83, 2 Cd 3.16
5 Cd 0.5000 0.5000 0.7008  8 Pd 2.82-2.83, 1 Cd 3.16
6 Pd 0.0000 0.0000 0.1996  8 Cd 2.82-2.84, 1 Rh 3.14, 1 Pd 3.15
7 Pd 0.0000 0.0000 0.3999  8 Cd 2.83, 2 Pd 3.15
8 Pd 0.0000 0.0000 0.6001  8 Cd 2.83, 2 Pd 3.15
9 Pd 0.0000 0.0000 0.8004  8 Cd 2.82-2.84, 1 Rh 3.14, 1 Pd 3.15
10 Rh 0.0000 0.0000 0.0000  8 Cd 2.81, 2 Pd 3.14